Entry 1:
Material: CeCdAs
Method: DFT, GGA-PBE
State: optimized geometry

Density of states at the Fermi level: 8.92 states/eV/cell
DFT formation energy: -674 meV per atom
Size of the total moment: 0.69 Bohr magnetons per cell

Structure (POSCAR):
```
CeCdAs
1.0
4.909 0.000 0.000
2.455 4.251 0.000
2.455 1.417 7.895
Cd Ce As
2 2 2
Cartesian
2.455 1.417 3.936
7.364 4.251 3.959
4.909 2.834 6.170
4.909 2.834 1.725
7.364 4.251 6.753
2.455 1.417 1.142
```

---

Entry 2:
Material: Sc4GaTc
Method: DFT, GGA-PBE
State: optimized geometry

Density of states at the Fermi level: 6.83 states/eV/cell
DFT formation energy: -361 meV per atom
Size of the total moment: 0.00 Bohr magnetons per cell

Structure (POSCAR):
```
Sc4GaTc
1.0
4.486 0.000 -2.152
0.000 6.119 0.000
-0.334 0.000 8.989
Sc Tc Ga
8 2 2
Cartesian
1.470 4.589 0.235
2.478 1.530 2.513
2.682 1.530 6.602
-0.047 6.103 6.563
-0.047 3.076 6.563
4.199 0.017 0.274
1.675 4.589 4.324
4.199 3.043 0.274
3.375 4.589 2.305
0.777 1.530 4.532
2.792 4.589 6.903
1.360 1.530 -0.065
```

---

Entry 3:
Material: AcLuHgIr
Method: DFT, GGA-PBE
State: optimized geometry

Density of states at the Fermi level: 2.44 states/eV/cell
DFT formation energy: -448 meV per atom
Size of the total moment: 0.00 Bohr magnetons per cell

Structure (POSCAR):
```
AcLuHgIr
1.0
-4.695 1.594 1.668
-4.154 -3.142 -0.486
-2.145 -2.176 4.246
Ir Lu Ac Hg
1 1 1 1
Cartesian
0.000 0.000 0.000
-8.245 -2.793 4.071
-2.748 -0.931 1.357
-5.497 -1.862 2.714
```

---

Entry 4:
Material: Ba2SmRu3O12
Method: DFT, GGA-PBE
State: optimized geometry

Density of states at the Fermi level: 9.46 states/eV/cell
Formation energy (no corrections): -156 kJ per mole of atoms
Size of the total moment: 3.79 Bohr magnetons per cell

Structure (POSCAR):
```
Ba2SmRu3O12
1.0
6.890 -0.258 -0.183
3.179 6.118 -0.183
3.179 1.850 5.835
Ba Ru O Sm
2 3 12 1
Cartesian
5.143 2.994 2.123
8.104 4.717 3.346
1.589 0.925 2.917
1.589 3.059 -0.091
3.445 -0.129 -0.091
5.683 3.308 5.102
5.683 5.909 1.435
3.175 3.801 0.626
10.072 3.909 4.843
7.944 2.024 1.435
10.072 5.863 2.089
7.564 4.403 0.367
8.374 6.828 4.843
7.564 1.802 4.034
4.873 0.883 0.626
5.302 5.687 4.034
3.175 1.848 3.381
0.000 0.000 0.000
```